A plane-wave DFT calculation with PBE was carried out for a relaxed structure of RbTiFe3.

Unit cell a=4.5911 b=4.5911 c=4.5911 alpha=90.00 beta=90.00 gamma=90.00
With the nearest neighbours (Å) after each atom.
Atoms (fractional coordinates):
Fe  0.0000  0.5000  0.0000  2 Rb 2.30
Fe  0.0000  0.0000  0.5000  2 Rb 2.30
Fe  0.5000  0.0000  0.0000  2 Rb 2.30
Rb  0.0000  0.0000  0.0000  6 Fe 2.30
Ti  0.5000  0.5000  0.5000  12 Fe 3.25

Properties
Calculated formation energy = 2.511 eV/atom
Fermi-level density of states = 10.2 states/eV per cell
Energy above the most stable polymorph in this dataset = 1214 meV per atom

A plane-wave DFT calculation with PBE was carried out for a relaxed structure of Ba2ZnHg2Au4.

Unit cell a=6.9079 b=6.9079 c=6.9079 alpha=93.05 beta=118.25 gamma=118.25
With the nearest neighbours (Å) after each atom.
Atoms (fractional coordinates):
Ba  0.5000  0.7500  0.2500  8 Au 3.46, 4 Hg 3.58
Ba  0.5000  0.2500  0.7500  8 Au 3.46, 4 Hg 3.58
Zn  0.0000  0.0000  0.0000  4 Au 2.63, 2 Hg 2.90
Hg  0.0000  0.6954  0.6954  1 Zn 2.90, 4 Au 3.02
Hg  0.0000  0.3046  0.3046  1 Zn 2.90, 4 Au 3.02
Au  0.0000  0.7373  0.2627  1 Zn 2.63
Au  0.4747  0.7373  0.7373  1 Zn 2.63
Au  0.0000  0.2627  0.7373  1 Zn 2.63
Au  0.5253  0.2627  0.2627  1 Zn 2.63

Properties
Calculated formation energy = -0.458 eV/atom
Fermi-level density of states = 4.0 states/eV per cell

A plane-wave DFT calculation with PBE was carried out for a relaxed structure of Hg3SO6.

Unit cell a=7.1642 b=7.1642 c=10.6465 alpha=90.00 beta=90.00 gamma=120.00
With the nearest neighbours (Å) after each atom.
Atoms (fractional coordinates):
Hg  0.4992  0.1929  0.6728  2 O 2.13-2.14
Hg  0.6937  0.5008  0.3395  2 O 2.13-2.14
Hg  0.8071  0.3063  0.0061  2 O 2.13-2.14
Hg  0.2960  0.2936  0.0008  2 O 2.11-2.12
Hg  0.9976  0.7040  0.6675  2 O 2.11-2.12
Hg  0.7064  0.0024  0.3341  2 O 2.11-2.12
Hg  0.4985  0.6931  0.6514  2 O 2.15
Hg  0.1946  0.5015  0.3181  2 O 2.15
Hg  0.3069  0.8054  0.9848  2 O 2.15
S  0.7752  0.7636  0.9905  4 O 1.49-1.51
S  0.9884  0.2248  0.6572  4 O 1.49-1.51
S  0.2364  0.0116  0.3238  4 O 1.49-1.51
O  0.1331  0.4020  0.5682  1 S 1.51
O  0.2689  0.8669  0.2349  1 S 1.51
O  0.5980  0.7311  0.9016  1 S 1.51
O  0.7974  0.0622  0.5832  1 S 1.50
O  0.2648  0.2026  0.2499  1 S 1.50
O  0.9378  0.7352  0.9166  1 S 1.50
O  0.3292  0.8557  0.7111  3 Hg 2.11-2.15
O  0.5264  0.6708  0.3778  3 Hg 2.11-2.15
O  0.1443  0.4736  0.0444  3 Hg 2.11-2.15
O  0.9123  0.3182  0.7575  1 S 1.50
O  0.4059  0.0877  0.4242  1 S 1.50
O  0.6818  0.5941  0.0908  1 S 1.50
O  0.4771  0.1458  0.9490  3 Hg 2.12-2.15
O  0.8542  0.3313  0.2823  3 Hg 2.12-2.15
O  0.6687  0.5229  0.6157  3 Hg 2.12-2.15
O  0.8755  0.9808  0.0493  1 S 1.49
O  0.0192  0.8947  0.3826  1 S 1.49
O  0.1053  0.1245  0.7159  1 S 1.49

Properties
Energy above the most stable polymorph in this dataset = 0 meV per atom
Formation energy from raw total energies = -0.769 eV/atom

A plane-wave DFT calculation with PBE was carried out for a relaxed structure of La4Ag2S.

Unit cell a=5.5389 b=5.5389 c=8.4382 alpha=109.16 beta=109.16 gamma=90.00
With the nearest neighbours (Å) after each atom.
Atoms (fractional coordinates):
S  0.0000  0.0000  0.0000  6 La 2.77-2.84
Ag  0.6110  0.6110  0.2220  5 La 2.98-3.23, 1 Ag 3.32
Ag  0.3890  0.3890  0.7780  5 La 2.98-3.23, 1 Ag 3.32
La  0.8101  0.8101  0.6202  1 S 2.84, 1 Ag 2.98
La  0.1899  0.1899  0.3798  1 S 2.84, 1 Ag 2.98
La  0.0000  0.5000  0.0000  2 S 2.77
La  0.5000  0.0000  0.0000  2 S 2.77

Properties
Fermi-level density of states = 7.5 states/eV per cell
Energy above the most stable polymorph in this dataset = 139 meV per atom
Formation energy from raw total energies = -0.583 eV/atom

A plane-wave DFT calculation with PBE was carried out for a relaxed structure of MgReRu2.

Unit cell a=2.7074 b=2.7074 c=9.0904 alpha=90.00 beta=90.00 gamma=114.89
With the nearest neighbours (Å) after each atom.
Atoms (fractional coordinates):
Mg  0.0000  0.0000  0.4943  2 Ru 2.69, 6 Mg 2.71-2.91, 2 Re 2.82
Re  0.5000  0.5000  0.7602  2 Ru 2.62, 6 Re 2.71-2.91, 2 Mg 2.82
Ru  0.0000  0.0000  0.9999  2 Re 2.62, 8 Ru 2.67-2.91
Ru  0.5000  0.5000  0.2457  8 Ru 2.67-2.91, 2 Mg 2.69

Properties
Calculated formation energy = 0.351 eV/atom
Fermi-level density of states = 4.4 states/eV per cell

A plane-wave DFT calculation with PBE was carried out for a relaxed structure of Ca2ZrPb.

Unit cell a=6.3022 b=6.3022 c=3.3289 alpha=90.00 beta=90.00 gamma=118.12
With the nearest neighbours (Å) after each atom.
Atoms (fractional coordinates):
Pb  0.5000  0.0000  0.5000  2 Zr 3.24, 2 Pb 3.33, 8 Ca 3.56
Ca  0.0000  0.0000  0.0000  4 Ca 3.24-3.33, 4 Zr 3.56, 4 Pb 3.56
Ca  0.5000  0.5000  0.0000  4 Ca 3.24-3.33, 4 Pb 3.56, 4 Zr 3.56
Zr  0.0000  0.5000  0.5000  2 Pb 3.24, 2 Zr 3.33, 8 Ca 3.56

Properties
Calculated formation energy = 0.049 eV/atom
Fermi-level density of states = 4.5 states/eV per cell

A plane-wave DFT calculation with PBE was carried out for a relaxed structure of Sr3DyGa2O8.

Unit cell a=5.9167 b=5.9167 c=7.2710 alpha=90.00 beta=90.00 gamma=120.00
With the nearest neighbours (Å) after each atom.
Atoms (fractional coordinates):
Sr  0.3333  0.6667  0.6382  1 O 2.29
Sr  0.6667  0.3333  0.3618  1 O 2.29
Sr  0.0000  0.0000  0.0000  6 O 2.86
Dy  0.0000  0.0000  0.5000  6 O 2.21
Ga  0.3333  0.6667  0.2003  4 O 1.80-1.86
Ga  0.6667  0.3333  0.7997  4 O 1.80-1.86
O  0.3333  0.6667  0.9533  1 Ga 1.80
O  0.6667  0.3333  0.0467  1 Ga 1.80
O  0.1701  0.8299  0.3126  1 Ga 1.86
O  0.8299  0.1701  0.6874  1 Ga 1.86
O  0.1701  0.3401  0.3126  1 Ga 1.86
O  0.8299  0.6599  0.6874  1 Ga 1.86
O  0.6599  0.8299  0.3126  1 Ga 1.86
O  0.3401  0.1701  0.6874  1 Ga 1.86

Properties
Fermi-level density of states = 12.7 states/eV per cell
Formation energy from raw total energies = -2.426 eV/atom

A plane-wave DFT calculation with PBE was carried out for a relaxed structure of PtAu3.

Unit cell a=2.9621 b=4.8152 c=4.8921 alpha=90.00 beta=90.00 gamma=90.00
With the nearest neighbours (Å) after each atom.
Atoms (fractional coordinates):
Au  0.5000  0.0000  0.4817  4 Pt 2.85-2.87, 8 Au 2.90-3.02
Au  0.5000  0.5000  0.8561  8 Au 2.83-3.02, 4 Pt 2.89
Au  0.0000  0.5000  0.3491  10 Au 2.83-2.96, 2 Pt 3.01
Pt  0.0000  0.0000  0.9797  10 Au 2.85-3.01, 2 Pt 2.96

Properties
Calculated formation energy = 0.050 eV/atom
Fermi-level density of states = 1.9 states/eV per cell

no.,DFT total energy (eV per cell)
1,-21.70
2,-22.95
3,-127.42
4,-33.62
5,-31.19
6,-16.06
7,-89.34
8,-15.67